1.
Entry from Alexandria via LeMat-Bulk: a relaxed ZrPb5 crystal (PBE-GGA).

Cell lengths 6.371, 6.371, 6.371 Å; angles 60.00, 60.00, 60.00 degrees
Element x y z (fractional)
Zr: 0.000 0.000 0.000
Pb: 0.250 0.250 0.250
Pb: 0.625 0.625 0.625
Pb: 0.625 0.625 0.124
Pb: 0.124 0.625 0.625
Pb: 0.625 0.124 0.625

Calculated values
- ΔE to the lowest computed polymorph: 306 meV per atom

=====

2.
Entry from Alexandria via LeMat-Bulk: a relaxed Zr2Pb crystal (PBE-GGA).

Cell lengths 4.850, 4.850, 4.850 Å; angles 60.00, 60.00, 60.00 degrees
Element x y z (fractional)
Pb: 0.000 0.000 0.000
Zr: 0.750 0.750 0.750
Zr: 0.250 0.250 0.250

=====

3.
Entry from Alexandria via LeMat-Bulk: a relaxed Zr2Pb crystal (PBE-GGA).

Cell lengths 4.924, 6.064, 9.348 Å; angles 90.00, 90.00, 90.00 degrees
Element x y z (fractional)
Pb: 0.250 0.664 0.369
Pb: 0.750 0.836 0.869
Pb: 0.250 0.164 0.131
Pb: 0.750 0.336 0.631
Zr: 0.250 0.117 0.801
Zr: 0.750 0.383 0.301
Zr: 0.250 0.617 0.699
Zr: 0.750 0.883 0.199
Zr: 0.250 0.146 0.463
Zr: 0.750 0.354 0.963
Zr: 0.250 0.646 0.037
Zr: 0.750 0.854 0.537

=====

4.
Entry from Alexandria via LeMat-Bulk: a relaxed Zr7Pb3 crystal (PBE-GGA).

Cell lengths 4.498, 6.447, 8.657 Å; angles 106.26, 105.06, 90.00 degrees
Element x y z (fractional)
Zr: 0.000 0.500 0.000
Zr: 0.799 0.887 0.598
Zr: 0.201 0.113 0.402
Zr: 0.607 0.312 0.215
Zr: 0.393 0.688 0.785
Zr: 0.593 0.802 0.186
Zr: 0.407 0.198 0.814
Pb: 0.000 0.000 0.000
Pb: 0.807 0.374 0.613
Pb: 0.193 0.626 0.387

=====

5.
Entry from Alexandria via LeMat-Bulk: a relaxed Zr4Pb crystal (PBE-GGA).

Cell lengths 5.349, 5.349, 5.349 Å; angles 90.00, 90.00, 90.00 degrees
Each line ends with the local moment (μB).
Element x y z (fractional)
Pb: 0.500 0.500 0.500  0.00
Zr: 0.000 0.000 0.000  0.50
Zr: 0.500 0.000 0.500  0.10
Zr: 0.000 0.500 0.500  0.10
Zr: 0.500 0.500 0.000  0.10

Calculated values
- ΔE to the lowest computed polymorph: 1244 meV per atom

=====

6.
Entry from Alexandria via LeMat-Bulk: a relaxed Zr3Pb crystal (PBE-GGA).

Cell lengths 3.785, 3.785, 6.496 Å; angles 90.00, 90.00, 90.00 degrees
Element x y z (fractional)
Pb: 0.000 0.000 0.000
Zr: 0.500 0.500 0.249
Zr: 0.000 0.000 0.500
Zr: 0.500 0.500 0.751

=====

7.
Entry from Alexandria via LeMat-Bulk: a relaxed Zr2Pb crystal (PBE-GGA).

Cell lengths 5.920, 5.920, 5.920 Å; angles 60.00, 60.00, 60.00 degrees
Element x y z (fractional)
Zr: 0.625 0.125 0.125
Zr: 0.125 0.625 0.125
Zr: 0.125 0.125 0.625
Zr: 0.125 0.125 0.125
Pb: 0.500 0.500 0.500
Pb: 0.750 0.750 0.750

=====

8.
Entry from Alexandria via LeMat-Bulk: a relaxed ZrPb4 crystal (PBE-GGA).

Cell lengths 8.968, 8.968, 8.968 Å; angles 152.32, 152.32, 39.55 degrees
Element x y z (fractional)
Zr: 0.000 0.000 0.000
Pb: 0.750 0.250 0.500
Pb: 0.250 0.750 0.500
Pb: 0.589 0.589 0.000
Pb: 0.411 0.411 0.000

Calculated values
- ΔE to the lowest computed polymorph: 317 meV per atom

=====

9.
Entry from Alexandria via LeMat-Bulk: a relaxed ZrPb5 crystal (PBE-GGA).

Cell lengths 5.878, 5.878, 9.899 Å; angles 67.37, 67.37, 33.76 degrees
Element x y z (fractional)
Zr: 0.306 0.306 0.889
Pb: 0.968 0.968 0.037
Pb: 0.306 0.306 0.389
Pb: 0.643 0.643 0.741
Pb: 0.645 0.645 0.193
Pb: 0.967 0.967 0.585

Calculated values
- ΔE to the lowest computed polymorph: 0 meV per atom

=====

10.
Entry from Alexandria via LeMat-Bulk: a relaxed ZrPb5 crystal (PBE-GGA).

Cell lengths 8.441, 8.441, 4.885 Å; angles 90.00, 90.00, 150.08 degrees
Element x y z (fractional)
Zr: 0.500 0.500 0.000
Pb: 0.336 0.664 0.500
Pb: 0.151 0.849 0.000
Pb: 0.000 0.000 0.500
Pb: 0.849 0.151 0.000
Pb: 0.664 0.336 0.500

Calculated values
- ΔE to the lowest computed polymorph: 16 meV per atom

=====

11.
Entry from Alexandria via LeMat-Bulk: a relaxed Zr3Pb crystal (PBE-GGA).

Cell lengths 5.064, 5.064, 5.064 Å; angles 60.00, 60.00, 60.00 degrees
Each line ends with the local moment (μB).
Element x y z (fractional)
Pb: 0.000 0.000 0.000  -0.01
Zr: 0.750 0.750 0.750  0.13
Zr: 0.500 0.500 0.500  0.41
Zr: 0.250 0.250 0.250  0.13

=====

12.
Entry from Alexandria via LeMat-Bulk: a relaxed ZrPb4 crystal (PBE-GGA).

Cell lengths 5.988, 5.988, 5.988 Å; angles 109.47, 109.47, 109.47 degrees
Element x y z (fractional)
Pb: 0.000 0.500 0.000
Pb: 0.500 0.500 0.500
Pb: 0.000 0.000 0.500
Pb: 0.500 0.000 0.000
Zr: 0.000 0.000 0.000

Calculated values
- ΔE to the lowest computed polymorph: 0 meV per atom

=====

no.,calculated formation energy (eV/atom),raw total energy (eV per atom),size of the total moment (μB/atom)
1,0.346,-4.169,0.00
2,0.214,-6.721,0.00
3,-0.229,-7.164,0.00
4,-0.162,-7.259,0.00
5,1.135,-6.445,0.31
6,-0.124,-7.462,0.00
7,0.160,-6.775,0.00
8,0.364,-4.312,0.00
9,0.040,-4.475,0.00
10,0.055,-4.460,0.00
11,-0.010,-7.348,0.25
12,0.047,-4.629,0.00